Entry 1:
LiZrGaNi: optimized geometry, PBE.

a b c (Å): 6.132 6.132 6.132
angles (deg): 90.00 90.00 90.00
Space group F-43m (No. 216)
Symmetry-distinct sites (fractional):
Li  0.000  0.000  0.000 x4
Zr  0.250  0.250  0.750 x4
Ga  0.250  0.250  0.250 x4
Ni  0.000  0.000  0.500 x4

Summary:
For the formation energy, the calculation gives -0.509 eV/atom. The value obtained for the total magnetization is 0.00 μB per cell. Its energy is -5.326 eV per atom. The calculated volume comes out at 14.4 Å³ per atom.

Entry 2:
LiNpGa: optimized geometry, PBE.

a b c (Å): 5.000 7.899 12.048
angles (deg): 90.00 90.00 90.00
Space group Fmmm (No. 69)
Symmetry-distinct sites (fractional):
Li  0.250  0.250  0.250 x8
Np  0.000  0.166  0.000 x8
Ga  0.000  0.000  0.380 x8

Summary:
For the formation energy, the calculation gives 0.032 eV/atom. The value obtained for the total magnetization is 31.26 μB per cell. Its energy is -5.929 eV per atom. The calculated volume comes out at 19.8 Å³ per atom.

Entry 3:
LiNp2Ga6: optimized geometry, PBE.

a b c (Å): 8.1383 8.1383 2.8823
angles (deg): 90.00 90.00 120.00
Space group P6/mmm (No. 191)
Symmetry-distinct sites (fractional):
Li  0.0000  0.0000  0.0000 x1
Np  0.3333  0.6667  0.0000 x2
Ga  0.0000  0.3224  0.5000 x6

Summary:
For the formation energy, the calculation gives -0.193 eV/atom. The value obtained for the total magnetization is 7.71 μB per cell. Its energy is -5.299 eV per atom. The calculated volume comes out at 18.4 Å³ per atom.

Entry 4:
LiNp4Ga12: optimized geometry, PBE.

a b c (Å): 8.638 8.638 8.638
angles (deg): 90.00 90.00 90.00
Space group Im-3m (No. 229)
Symmetry-distinct sites (fractional):
Li  0.000  0.000  0.000 x2
Np  0.250  0.250  0.250 x8
Ga  0.000  0.000  0.292 x12
Ga  0.000  0.250  0.500 x12

Summary:
For the formation energy, the calculation gives -0.207 eV/atom. The value obtained for the total magnetization is 32.45 μB per cell. Its energy is -5.501 eV per atom. The calculated volume comes out at 19.0 Å³ per atom.

Entry 5:
Li2NpGa6: optimized geometry, PBE.

a b c (Å): 7.9747 7.9747 2.9165
angles (deg): 90.00 90.00 120.00
Space group P6/mmm (No. 191)
Symmetry-distinct sites (fractional):
Li  0.3333  0.6667  0.0000 x2
Np  0.0000  0.0000  0.0000 x1
Ga  0.0000  0.3417  0.5000 x6

Summary:
For the formation energy, the calculation gives -0.219 eV/atom. The value obtained for the total magnetization is 3.88 μB per cell. Its energy is -4.100 eV per atom. The calculated volume comes out at 17.8 Å³ per atom.

Entry 6:
LiNp2Ga8: optimized geometry, PBE.

a b c (Å): 4.304 4.304 11.194
angles (deg): 90.00 90.00 90.00
Space group P4/mmm (No. 123)
Symmetry-distinct sites (fractional):
Li  0.000  0.000  0.000 x1
Np  0.000  0.000  0.310 x2
Ga  0.000  0.500  0.125 x4
Ga  0.000  0.500  0.500 x2
Ga  0.500  0.500  0.308 x2

Summary:
For the formation energy, the calculation gives -0.176 eV/atom. The value obtained for the total magnetization is 7.81 μB per cell. Its energy is -4.905 eV per atom. The calculated volume comes out at 18.8 Å³ per atom.

Entry 7:
LiNp3Ga12: optimized geometry, PBE.

a b c (Å): 4.221 4.221 16.849
angles (deg): 90.00 90.00 90.00
Space group P4/mmm (No. 123)
Symmetry-distinct sites (fractional):
Li  0.000  0.000  0.000 x1
Np  0.000  0.000  0.241 x2
Np  0.000  0.000  0.500 x1
Ga  0.000  0.500  0.113 x4
Ga  0.000  0.500  0.371 x4
Ga  0.500  0.500  0.000 x1
Ga  0.500  0.500  0.250 x2
Ga  0.500  0.500  0.500 x1

Summary:
For the formation energy, the calculation gives -0.188 eV/atom. The value obtained for the total magnetization is 11.98 μB per cell. Its energy is -5.004 eV per atom. The calculated volume comes out at 18.8 Å³ per atom.

Entry 8:
Li4NpGa15: optimized geometry, PBE.

a b c (Å): 4.087 4.087 20.882
angles (deg): 90.00 90.00 90.00
Space group P4/mmm (No. 123)
Symmetry-distinct sites (fractional):
Li  0.000  0.000  0.099 x2
Li  0.000  0.000  0.298 x2
Np  0.000  0.000  0.500 x1
Ga  0.000  0.500  0.000 x2
Ga  0.000  0.500  0.198 x4
Ga  0.000  0.500  0.392 x4
Ga  0.500  0.500  0.097 x2
Ga  0.500  0.500  0.296 x2
Ga  0.500  0.500  0.500 x1

Summary:
For the formation energy, the calculation gives -0.170 eV/atom. The value obtained for the total magnetization is 3.75 μB per cell. Its energy is -3.470 eV per atom. The calculated volume comes out at 17.4 Å³ per atom.

Entry 9:
LiNpGaO6: optimized geometry, PBE.

a b c (Å): 5.1157 5.1157 8.9971
angles (deg): 90.00 90.00 120.00
Space group P-31c (No. 163)
Symmetry-distinct sites (fractional):
Li  0.3333  0.6667  0.2500 x2
Np  0.3333  0.6667  0.7500 x2
Ga  0.0000  0.0000  0.0000 x2
O  0.0159  0.3342  0.6258 x12

Summary:
As for the uncorrected formation energy: -1.921 eV per atom. The value obtained for the total magnetization is 0.00 μB per cell. Its energy is -7.214 eV per atom. The calculated volume comes out at 11.3 Å³ per atom.

Entry 10:
LiNpGa2O6: optimized geometry, PBE.

a b c (Å): 5.3055 5.3055 14.0243
angles (deg): 90.00 90.00 120.00
Space group R3 (No. 146, hexagonal axes)
Symmetry-distinct sites (fractional):
Li  0.0000  0.0000  0.0000 x3
Np  0.0000  0.0000  0.4959 x3
Ga  0.0000  0.0000  0.2845 x3
Ga  0.0000  0.0000  0.7904 x3
O  0.0144  0.3809  0.5576 x9
O  0.0178  0.6321  0.0595 x9

Summary:
As for the uncorrected formation energy: -2.119 eV per atom. The value obtained for the total magnetization is 6.00 μB per cell. Its energy is -7.185 eV per atom. The calculated volume comes out at 11.4 Å³ per atom.

Entry 11:
LiNpGaO4: optimized geometry, PBE.

a b c (Å): 6.029 8.872 6.893
angles (deg): 90.00 90.00 90.00
Space group Cmcm (No. 63)
Symmetry-distinct sites (fractional):
Li  0.000  0.159  0.250 x4
Np  0.000  0.500  0.000 x4
Ga  0.000  0.150  0.750 x4
O  0.000  0.260  0.521 x8
O  0.242  0.013  0.750 x8

Summary:
As for the uncorrected formation energy: -2.325 eV per atom. The value obtained for the total magnetization is 12.00 μB per cell. Its energy is -7.712 eV per atom. The calculated volume comes out at 13.2 Å³ per atom.

Entry 12:
LiNpGaOs: optimized geometry, PBE.

a b c (Å): 6.492 6.492 6.492
angles (deg): 90.00 90.00 90.00
Space group F-43m (No. 216)
Symmetry-distinct sites (fractional):
Li  0.000  0.000  0.000 x4
Np  0.250  0.250  0.250 x4
Ga  0.250  0.250  0.750 x4
Os  0.000  0.000  0.500 x4

Summary:
For the formation energy, the calculation gives 0.088 eV/atom. The value obtained for the total magnetization is 14.02 μB per cell. Its energy is -7.190 eV per atom. The calculated volume comes out at 17.1 Å³ per atom.

Question: What is the formula in the eleventh record?
Answer: LiNpGaO4

Question: Among the records above, which one has the lowest energy?
Answer: LiNpGaO4